Below is CrPb7 after structural relaxation, with properties calculated at the GGA-PBE level.

Geometry as POSCAR:
```
CrPb7
1.0
0.000 4.910 4.910
4.910 0.000 4.910
4.910 4.910 0.000
Cr Pb
1 7
direct
0.000 0.000 0.000
0.000 0.000 0.500
0.000 0.500 0.000
0.000 0.500 0.500
0.500 0.000 0.000
0.500 0.000 0.500
0.500 0.500 0.000
0.500 0.500 0.500
```

- Space group: Fm-3m
- Formation enthalpy at 0 K: 0.220 eV per atom
- Spin magnetization: 4.511 μB per formula unit
- Total DFT energy (no corrections): -4.228 eV per atom
- Crystal system: cubic

Below is CrPb4 after structural relaxation, with properties calculated at the GGA-PBE level.

Geometry as POSCAR:
```
CrPb4
1.0
-3.344 3.344 3.344
3.344 -3.344 3.344
3.344 3.344 -3.344
Cr Pb
1 4
direct
0.000 0.000 0.000
0.000 0.000 0.500
0.000 0.500 0.000
0.500 0.000 0.000
0.500 0.500 0.500
```

- Space group: Im-3m
- Formation enthalpy at 0 K: 0.346 eV per atom
- Spin magnetization: 3.370 μB per formula unit
- Total DFT energy (no corrections): -4.545 eV per atom
- Crystal system: cubic